## TcAs2HBr (PBE-GGA)

Data for a relaxed TcAs2HBr crystal.

The total energy comes out at -0.29817 Ry/atom. As for the symmetry: P4/mmm, No. 123.

Unit cell a=3.9743 b=3.9743 c=5.0678 alpha=90.00 beta=90.00 gamma=90.00
Element x y z (fractional)
1 H 0.0000 0.0000 0.0000
2 Br 0.0000 0.0000 0.5000
3 Tc 0.5000 0.5000 0.5000
4 As 0.5000 0.0000 0.0000
5 As 0.0000 0.5000 0.0000